Record 1
A geometry-optimized ZnRu2F2 structure. Source: Alexandria, functional PBE.

Lattice parameters (Å, degrees): 3.399 3.399 11.053 90.00 90.00 90.00
Space group I4/mmm (No. 139)
Asymmetric unit:
Zn1 0.000 0.000 0.000 x2
Ru1 0.000 0.000 0.396 x4
F1 0.000 0.500 0.250 x4

Results
Energy: -5.06 eV per atom
Distance to the lowest polymorph of the same formula: 0.0 meV/atom
Formation energy (no corrections): -7.92 kcal/mol of atoms
Crystal system: tetragonal

Record 2
A geometry-optimized UTcSn2 structure. Source: Alexandria, functional PBE.

Lattice parameters (Å, degrees): 3.316 3.316 7.701 90.00 90.00 90.00
Space group P4/mmm (No. 123)
Asymmetric unit:
U1 0.000 0.000 0.000 x1
Tc1 0.000 0.000 0.500 x1
Sn1 0.500 0.500 0.296 x2

Results
Energy: -7.32 eV per atom
Distance to the lowest polymorph of the same formula: 96.9 meV/atom
Crystal system: tetragonal

Record 3
A geometry-optimized Ag2OsBr structure. Source: Alexandria, functional PBE.

Lattice parameters (Å, degrees): 2.895 5.260 9.899 90.00 90.00 90.00
Space group Cmm2 (No. 35)
Asymmetric unit:
Ag1 0.000 0.000 0.000 x2
Ag2 0.000 0.500 0.248 x2
Os1 0.000 0.500 0.760 x2
Br1 0.000 0.000 0.551 x2

Results
Energy: -3.90 eV per atom
Distance to the lowest polymorph of the same formula: 86.9 meV/atom
Formation energy (no corrections): 17.29 kcal/mol of atoms
Crystal system: orthorhombic

Record 4
A geometry-optimized KLiCu2 structure. Source: Alexandria, functional PBE.

Lattice parameters (Å, degrees): 3.0898 3.0898 27.3666 90.00 90.00 120.00
Space group R-3m (No. 166, hexagonal axes)
Asymmetric unit:
K1 0.0000 0.0000 0.0000 x3
Li1 0.0000 0.0000 0.5000 x3
Cu1 0.0000 0.0000 0.2354 x6

Results
Energy: -2.28 eV per atom
Distance to the lowest polymorph of the same formula: 368.3 meV/atom
Crystal system: trigonal

Record 5
A geometry-optimized LaTb4P5 structure. Source: Alexandria, functional PBE.

Lattice parameters (Å, degrees): 13.519 4.081 9.998 90.00 119.51 90.00
Space group C2/m (No. 12)
Asymmetric unit:
La1 0.000 0.000 0.000 x2
Tb1 0.099 0.500 0.401 x4
Tb2 0.200 0.000 0.796 x4
P1 0.000 0.000 0.500 x2
P2 0.105 0.500 0.896 x4
P3 0.203 0.000 0.307 x4

Results
Energy: -6.64 eV per atom
Crystal system: monoclinic

Record 6
A geometry-optimized Y2HfHgN structure. Source: Alexandria, functional PBE.

Lattice parameters (Å, degrees): 4.805 4.805 4.460 90.00 90.00 90.00
Space group P4/mmm (No. 123)
Asymmetric unit:
Y1 0.000 0.500 0.000 x2
Hf1 0.000 0.000 0.500 x1
Hg1 0.500 0.500 0.500 x1
N1 0.000 0.000 0.000 x1

Results
Energy: -7.15 eV per atom
Formation energy (no corrections): -19.60 kcal/mol of atoms
Crystal system: tetragonal

Record 7
A geometry-optimized ReIr3 structure. Source: Alexandria, functional PBE.

Lattice parameters (Å, degrees): 5.477 7.791 2.730 90.00 90.00 90.00
Space group Cmmm (No. 65)
Asymmetric unit:
Re1 0.000 0.000 0.000 x2
Ir1 0.000 0.500 0.000 x2
Ir2 0.250 0.250 0.500 x4

Results
Energy: -9.85 eV per atom
Distance to the lowest polymorph of the same formula: 58.4 meV/atom
Crystal system: orthorhombic

Record 8
A geometry-optimized Mg2TaTc structure. Source: Alexandria, functional PBE.

Lattice parameters (Å, degrees): 5.437 9.336 2.747 90.00 90.00 90.00
Space group Cmmm (No. 65)
Asymmetric unit:
Mg1 0.250 0.250 0.000 x4
Ta1 0.000 0.000 0.500 x2
Tc1 0.000 0.500 0.500 x2

Results
Energy: -6.10 eV per atom
Distance to the lowest polymorph of the same formula: 250.0 meV/atom
Crystal system: orthorhombic

| no. | size of the total moment (μB/cell) |
| --- | --- |
| 1 | 0.00 |
| 2 | 3.56 |
| 3 | 0.00 |
| 4 | 0.00 |
| 5 | 0.00 |
| 6 | 0.00 |
| 7 | 0.00 |
| 8 | 0.00 |